Entry from Alexandria via LeMat-Bulk: a relaxed BaSmCrSnO6 crystal (GGA+U).

The structure belongs to space group F-43m (No. 216); the cell edges are 8.086, 8.086 and 8.086 Å and the angles 90.00°, 90.00° and 90.00°. The distinct sites, in fractional coordinates, are Ba at (0.000, 0.000, 0.000), Sm at (0.000, 0.000, 0.500), Cr at (0.250, 0.250, 0.250), Sn at (0.250, 0.250, 0.750) and O at (0.003, 0.250, 0.250).

The calculated total energy is -282.964 eV/cell. The density of states at the Fermi level comes out at 0.000 states/eV/atom. The value obtained for the magnetic moment is 3.00 μB per formula unit.